(1)
## Tb2ThCd8 (PBE-GGA)

Data for an optimized crystal structure of Tb2ThCd8.

a = 8.332 Å, b = 15.815 Å, c = 5.363 Å
α = 90.00°, β = 129.91°, γ = 90.00°
Space group C2/m (No. 12)
Symmetry-distinct sites (fractional):
Tb: 0.000 0.188 0.000
Th: 0.000 0.500 0.500
Cd: 0.000 0.295 0.500
Cd: 0.002 0.000 0.755
Cd: 0.228 0.373 0.230

Computed properties:
ΔE_f: -0.20 eV per atom
Magnetization: 0.00 μB/f.u.
Uncorrected energy: -2.38 eV per atom

***

(2)
## TbThCd4 (PBE-GGA)

Data for an optimized crystal structure of TbThCd4.

a = 4.334 Å, b = 4.334 Å, c = 17.506 Å
α = 90.00°, β = 90.00°, γ = 90.00°
Space group I-4m2 (No. 119)
Symmetry-distinct sites (fractional):
Tb: 0.000 0.000 0.000
Th: 0.000 0.500 0.250
Cd: 0.000 0.000 0.422
Cd: 0.000 0.500 0.670

Computed properties:
ΔE_f: -0.04 eV per atom
Magnetization: 0.00 μB/f.u.
ΔE to the lowest computed polymorph: 0.87 eV/f.u.
Uncorrected energy: -2.66 eV per atom

***

(3)
## Tb2ThCd6 (PBE-GGA)

Data for an optimized crystal structure of Tb2ThCd6.

a = 8.7271 Å, b = 8.7271 Å, c = 3.4129 Å
α = 90.00°, β = 90.00°, γ = 120.00°
Space group P6/mmm (No. 191)
Symmetry-distinct sites (fractional):
Tb: 0.3333 0.6667 0.0000
Th: 0.0000 0.0000 0.0000
Cd: 0.0000 0.3367 0.5000

Computed properties:
ΔE_f: -0.28 eV per atom
Magnetization: 0.00 μB/f.u.
Uncorrected energy: -2.74 eV per atom

***

Look up the ΔE_f of the first one.
-0.20 eV per atom

***

The lowest uncorrected energy belongs to which entry?
Tb2ThCd6